[1]
The following is a PBE calculation of a relaxed ErBe2Ir2 crystal, from Alexandria via LeMat-Bulk.

Lattice parameters (Å, degrees): 3.9917 3.9917 9.1935 90.00 90.00 90.00
Fractional positions:
Ir (0.0000, 0.0000, 0.0000)
Ir (0.5000, 0.5000, 0.0000)
Er (0.0000, 0.5000, 0.7522)
Be (0.5000, 0.0000, 0.8745)
Ir (0.0000, 0.5000, 0.3766)
Be (0.5000, 0.5000, 0.5000)
Ir (0.5000, 0.0000, 0.6234)
Be (0.0000, 0.5000, 0.1255)
Be (0.0000, 0.0000, 0.5000)
Er (0.5000, 0.0000, 0.2478)

Size of the total moment   0.000 μB/cell
Space group   P4/nmm, No. 129
DFT formation energy   -0.680 eV per atom
N(E_F)   2.095 states/eV/f.u.
Electronic total energy   -6.628 eV per atom

[2]
The following is a PBE calculation of a relaxed NdSm4Y5 crystal, from Alexandria via LeMat-Bulk.

Lattice parameters (Å, degrees): 6.3024 7.9852 7.9852 81.04 66.76 66.76
Fractional positions:
Sm (0.4050, 0.3991, 0.6966)
Nd (0.2204, 0.0000, 0.0000)
Y (0.1810, 0.9195, 0.6183)
Sm (0.1016, 0.3034, 0.3991)
Y (0.7993, 0.3817, 0.9195)
Sm (0.5007, 0.6009, 0.3034)
Y (0.1005, 0.6183, 0.0805)
Y (0.6789, 0.0000, 0.0000)
Sm (0.8041, 0.6966, 0.6009)
Y (0.7188, 0.0805, 0.3817)

Size of the total moment   0.000 μB/cell
Space group   I4, No. 79
DFT formation energy   0.285 eV per atom
N(E_F)   15.436 states/eV/f.u.
Electronic total energy   -5.311 eV per atom

[3]
The following is a PBE calculation of a relaxed Zr5Sn4H crystal, from Alexandria via LeMat-Bulk.

Lattice parameters (Å, degrees): 5.6273 6.7968 6.7968 80.13 65.55 65.55
Fractional positions:
Zr (0.1029, 0.6685, 0.0993)
Sn (0.1514, 0.2790, 0.3946)
Sn (0.8250, 0.7210, 0.6054)
Sn (0.4304, 0.3946, 0.7210)
H (0.1158, 0.0000, 0.0000)
Zr (0.7714, 0.0993, 0.3315)
Zr (0.2022, 0.9007, 0.6685)
Zr (0.8707, 0.3315, 0.9007)
Zr (0.4944, 0.0000, 0.0000)
Sn (0.5460, 0.6054, 0.2790)

Size of the total moment   0.000 μB/cell
Space group   I4, No. 79
N(E_F)   6.960 states/eV/f.u.
Electronic total energy   -6.441 eV per atom

[4]
The following is a PBE calculation of a relaxed HoPdRh crystal, from Alexandria via LeMat-Bulk.

Lattice parameters (Å, degrees): 3.4588 3.4588 5.2303 109.31 109.31 90.00
Fractional positions:
Pd (0.2814, 0.2814, 0.5628)
Rh (0.6147, 0.6147, 0.2294)
Ho (0.9539, 0.9539, 0.9078)

Size of the total moment   0.000 μB/cell
Space group   I4mm, No. 107
DFT formation energy   -0.580 eV per atom
N(E_F)   2.286 states/eV/f.u.
Electronic total energy   -6.288 eV per atom

[5]
The following is a PBE calculation of a relaxed BeRe2W crystal, from Alexandria via LeMat-Bulk.

Lattice parameters (Å, degrees): 3.1145 3.1145 5.7210 90.00 90.00 90.00
Fractional positions:
Re (0.0000, 0.0000, 0.9765)
Be (0.5000, 0.5000, 0.7500)
Re (0.0000, 0.0000, 0.5235)
W (0.5000, 0.5000, 0.2500)

Size of the total moment   0.000 μB/cell
Space group   P4/mmm, No. 123
DFT formation energy   0.041 eV per atom
N(E_F)   2.202 states/eV/f.u.
Electronic total energy   -10.353 eV per atom

[6]
The following is a PBE calculation of a relaxed Ta2MnPd7 crystal, from Alexandria via LeMat-Bulk.

Lattice parameters (Å, degrees): 2.7893 8.8184 8.8185 124.04 90.00 90.00
Fractional positions:
Ta (0.5000, 0.6676, 0.3324)
Pd (0.5000, 0.3194, 0.1300)
Pd (0.5000, 0.8700, 0.6806)
Pd (0.5000, 0.1300, 0.3194)
Ta (0.5000, 0.3324, 0.6676)
Pd (0.0000, 0.1896, 0.8104)
Mn (0.0000, 0.0000, 0.0000)
Pd (0.5000, 0.5000, 0.5000)
Pd (0.0000, 0.8104, 0.1896)
Pd (0.5000, 0.6806, 0.8700)

Size of the total moment   4.196 μB/cell
Space group   Cmmm, No. 65
DFT formation energy   0.156 eV per atom
N(E_F)   7.767 states/eV/f.u.
Electronic total energy   -6.766 eV per atom